# 1
Computed, not measured: TaTi2CuRu after structural relaxation at the PBE level of DFT.

Summary:
Its space-group type is P4/mmm. The size of the total moment comes out at 0.33 μB per atom. The electronic total energy comes out at -33.5 eV for the cell shown. The energy relative to the elements comes out at 1.497 eV/atom. The calculation puts the density at 7.186 g/cm³.

a b c (Å): 4.704 4.704 4.608
angles (deg): 90.00 90.00 90.00
Sites, in units of the cell vectors:
1 Ta 0.000 0.000 0.000
2 Ti 0.000 0.500 0.000
3 Ti 0.500 0.000 0.000
4 Cu 0.000 0.000 0.500
5 Ru 0.500 0.500 0.500



# 2
Computed, not measured: Li2TbCd after structural relaxation at the PBE level of DFT.

Summary:
Its space-group type is Fm-3m. The size of the total moment comes out at 0.00 μB per atom. The electronic total energy comes out at -9.7 eV for the cell shown. The energy relative to the elements comes out at -0.078 eV/atom. The calculation puts the density at 5.706 g/cm³. The value obtained for the distance to the lowest polymorph of the same formula is 0 meV per atom.

a b c (Å): 4.896 4.896 4.896
angles (deg): 60.00 60.00 60.00
Sites, in units of the cell vectors:
1 Li 0.250 0.250 0.250
2 Li 0.750 0.750 0.750
3 Tb 0.000 0.000 0.000
4 Cd 0.500 0.500 0.500



# 3
Computed, not measured: Y2TmTe4 after structural relaxation at the PBE level of DFT.

Summary:
Its space-group type is Cmcm. The size of the total moment comes out at 0.00 μB per atom. The electronic total energy comes out at -78.5 eV for the cell shown. The calculation puts the density at 6.314 g/cm³. The value obtained for the distance to the lowest polymorph of the same formula is 54 meV per atom. The value obtained for the formation energy (no corrections) is -1.33 eV per atom.

a b c (Å): 7.464 7.464 14.946
angles (deg): 90.00 90.00 147.22
Sites, in units of the cell vectors:
1 Y 0.131 0.869 0.570
2 Y 0.131 0.869 0.930
3 Y 0.869 0.131 0.070
4 Y 0.869 0.131 0.430
5 Tm 0.371 0.629 0.750
6 Tm 0.629 0.371 0.250
7 Te 0.027 0.973 0.750
8 Te 0.220 0.780 0.123
9 Te 0.220 0.780 0.377
10 Te 0.500 0.500 0.000
11 Te 0.500 0.500 0.500
12 Te 0.780 0.220 0.623
13 Te 0.780 0.220 0.877
14 Te 0.973 0.027 0.250



# 4
Computed, not measured: Ca5ScHg6 after structural relaxation at the PBE level of DFT.

Summary:
Its space-group type is Cmmm. The size of the total moment comes out at 0.00 μB per atom. The electronic total energy comes out at -24.4 eV for the cell shown. The energy relative to the elements comes out at -0.521 eV/atom. The calculation puts the density at 7.683 g/cm³.

a b c (Å): 8.341 8.341 7.506
angles (deg): 90.00 90.00 143.15
Sites, in units of the cell vectors:
1 Ca 0.000 0.000 0.000
2 Ca 0.331 0.669 0.000
3 Ca 0.333 0.667 0.500
4 Ca 0.667 0.333 0.500
5 Ca 0.669 0.331 0.000
6 Sc 0.000 0.000 0.500
7 Hg 0.159 0.841 0.260
8 Hg 0.159 0.841 0.740
9 Hg 0.500 0.500 0.267
10 Hg 0.500 0.500 0.733
11 Hg 0.841 0.159 0.260
12 Hg 0.841 0.159 0.740



# 5
Computed, not measured: Pr2Sm3Ho7 after structural relaxation at the PBE level of DFT.

Summary:
Its space-group type is P2/m. The size of the total moment comes out at 0.00 μB per atom. The electronic total energy comes out at -54.7 eV for the cell shown. The energy relative to the elements comes out at 0.087 eV/atom. The calculation puts the density at 7.944 g/cm³. The value obtained for the distance to the lowest polymorph of the same formula is 2 meV per atom.

a b c (Å): 5.828 3.590 18.889
angles (deg): 90.00 93.29 90.00
Sites, in units of the cell vectors:
1 Pr 0.210 0.000 0.292
2 Pr 0.790 0.000 0.708
3 Sm 0.000 0.000 0.000
4 Sm 0.276 0.500 0.630
5 Sm 0.724 0.500 0.370
6 Ho 0.188 0.500 0.141
7 Ho 0.242 0.000 0.462
8 Ho 0.310 0.000 0.828
9 Ho 0.500 0.500 0.000
10 Ho 0.690 0.000 0.172
11 Ho 0.758 0.000 0.538
12 Ho 0.812 0.500 0.859



# 6
Computed, not measured: SmYThTl after structural relaxation at the PBE level of DFT.

Summary:
Its space-group type is F-43m. The size of the total moment comes out at 0.00 μB per atom. The electronic total energy comes out at -20.8 eV for the cell shown. The energy relative to the elements comes out at 0.049 eV/atom. The calculation puts the density at 9.431 g/cm³.

a b c (Å): 5.521 5.521 5.521
angles (deg): 60.00 60.00 60.00
Sites, in units of the cell vectors:
1 Sm 0.000 0.000 0.000
2 Y 0.500 0.500 0.500
3 Th 0.250 0.250 0.250
4 Tl 0.750 0.750 0.750